! MgBrO2 (GGA-PBE, relaxed); values from VASP
&SYSTEM
  ibrav = 0, nat = 8, ntyp = 3
/
ATOMIC_SPECIES
Mg 24.30 Mg.upf
Br 79.90 Br.upf
O 16.00 O.upf
ATOMIC_POSITIONS crystal
Mg 0.000 0.500 0.000
Mg 0.500 0.000 0.500
Br 0.000 0.000 0.000
Br 0.000 0.000 0.500
O 0.036 0.643 0.391
O 0.357 0.964 0.109
O 0.643 0.036 0.891
O 0.964 0.357 0.609
CELL_PARAMETERS angstrom
6.196 -1.638 0.000
6.196 1.638 0.000
-1.791 0.000 5.299
! Symmetry = C2/c (15)
! Total moment = 0.00 μB/atom
! Total energy = -4.418 eV per atom
! E_form (uncorrected) = -1122 meV per atom